## Li3TmAu12 (PBE)

Data for an optimized crystal structure of Li3TmAu12.

Cell and atoms, written as POSCAR:
```
Li3TmAu12
1.0
4.1829 0.0000 0.0000
0.0000 4.1829 0.0000
0.0000 0.0000 16.1407
Au Tm Li
12 1 3
Direct
0.0000 0.5000 0.3794
0.0000 0.5000 0.6206
0.0000 0.5000 0.1351
0.5000 0.0000 0.8649
0.5000 0.5000 0.7421
0.5000 0.0000 0.3794
0.5000 0.5000 0.0000
0.5000 0.5000 0.5000
0.0000 0.5000 0.8649
0.5000 0.0000 0.6206
0.5000 0.0000 0.1351
0.5000 0.5000 0.2579
0.0000 0.0000 0.0000
0.0000 0.0000 0.5000
0.0000 0.0000 0.7392
0.0000 0.0000 0.2608
```

The value obtained for the total energy is -3.5045 eV/atom. The value obtained for the total magnetization is 0.00 μB per formula unit. The space group is P4/mmm (123).